A plane-wave DFT calculation with PBE-GGA was carried out for ErHgSO after structural relaxation.

The structure in POSCAR format:
```
ErHgSO
1.0
3.903 0.000 0.000
0.000 3.903 0.000
0.000 0.000 9.972
Er Hg S O
2 2 2 2
Cartesian
0.976 0.976 1.082
2.927 2.927 8.890
0.976 2.927 4.986
2.927 0.976 4.986
0.976 0.976 7.396
2.927 2.927 2.576
0.976 2.927 0.000
2.927 0.976 0.000
```

**Space group**: P4/nmm
**Total energy**: -5.209 eV/atom
**Excess energy over the best structure of this formula in the dataset**: 148 meV/atom


A plane-wave DFT calculation with PBE-GGA was carried out for BeGaCoSn after structural relaxation.

The structure in POSCAR format:
```
BeGaCoSn
1.0
6.111 0.000 0.000
0.000 6.111 0.000
0.000 0.000 6.111
Be Ga Co Sn
4 4 4 4
Cartesian
0.000 0.000 0.000
0.000 3.055 3.055
3.055 0.000 3.055
3.055 3.055 0.000
1.528 1.528 4.583
1.528 4.583 1.528
4.583 1.528 1.528
4.583 4.583 4.583
0.000 0.000 3.055
0.000 3.055 0.000
3.055 0.000 0.000
3.055 3.055 3.055
1.528 1.528 1.528
1.528 4.583 4.583
4.583 1.528 4.583
4.583 4.583 1.528
```

**Space group**: F-43m
**Total energy**: -4.141 eV/atom
**Excess energy over the best structure of this formula in the dataset**: 0 meV/atom


Which formula does entry 1 have?
ErHgSO


Which value of total energy does entry 1 give?
-5.209 eV/atom


Copy entry 1 word for word.
A plane-wave DFT calculation with PBE-GGA was carried out for ErHgSO after structural relaxation.

The structure in POSCAR format:
```
ErHgSO
1.0
3.903 0.000 0.000
0.000 3.903 0.000
0.000 0.000 9.972
Er Hg S O
2 2 2 2
Cartesian
0.976 0.976 1.082
2.927 2.927 8.890
0.976 2.927 4.986
2.927 0.976 4.986
0.976 0.976 7.396
2.927 2.927 2.576
0.976 2.927 0.000
2.927 0.976 0.000
```

**Space group**: P4/nmm
**Total energy**: -5.209 eV/atom
**Excess energy over the best structure of this formula in the dataset**: 148 meV/atom